Density functional theory data (GGA-PBE) for Zn2MoRu2 after structural relaxation.

```
Zn2MoRu2
1.0
-2.1263 -1.9728 0.2112
-0.0662 0.3830 2.9118
-6.1132 6.6391 0.4696
Zn Mo Ru
2 1 2
direct
0.0000 0.1884 0.6232 Zn
0.0000 0.8116 0.3768 Zn
0.0000 0.0000 0.0000 Mo
0.5000 0.4050 0.1899 Ru
0.5000 0.5950 0.8101 Ru
```

Calculated values
Offset from the most stable computed form (meV/atom): 0
E (eV/atom): -6.345
Formation energy (eV per atom): 0.041
Symmetry: Cmmm (65)
N(E_F) (states/eV/f.u.): 5.03